Entry 1:
ZrTi2WS: optimized geometry, PBE.

calculated density: 6.29 g/cm³
ΔE_f (raw): 0.71 eV per atom
total energy: -7.5753 eV per atom
crystal system: tetragonal

Cell: 4.882 4.882 4.464 Å, 90.00 90.00 90.00°
Sites, in units of the cell vectors:
Zr 0.000 0.000 0.000
Ti 0.000 0.500 0.500
Ti 0.500 0.000 0.500
W 0.500 0.500 0.500
S 0.500 0.500 0.000

=====

Entry 2:
ZrRe2Cl: optimized geometry, PBE.

calculated density: 11.83 g/cm³
energy above the most stable polymorph in this dataset: 0.483 eV/atom
ΔE_f (raw): 0.36 eV per atom
total energy: -8.4646 eV per atom
crystal system: orthorhombic

Cell: 3.093 4.162 5.443 Å, 90.00 90.00 90.00°
Sites, in units of the cell vectors:
Zr 0.000 0.000 0.000
Re 0.000 0.500 0.500
Re 0.500 0.000 0.500
Cl 0.500 0.500 0.000

=====

Entry 3:
CaTmAl2Zn2: optimized geometry, PBE.

calculated density: 5.09 g/cm³
ΔH_f (0 K): -373 meV per atom
total energy: -3.1237 eV per atom
crystal system: trigonal

Cell: 4.524 4.524 7.249 Å, 90.00 90.00 120.00°
Sites, in units of the cell vectors:
Ca 0.000 0.000 0.000
Tm 0.000 0.000 0.500
Al 0.333 0.667 0.716
Al 0.667 0.333 0.284
Zn 0.333 0.667 0.287
Zn 0.667 0.333 0.713

=====

Entry 4:
TiCdHg2: optimized geometry, PBE.

calculated density: 11.39 g/cm³
ΔH_f (0 K): 52 meV per atom
total energy: -2.3018 eV per atom
crystal system: tetragonal

Cell: 4.446 4.446 4.143 Å, 90.00 90.00 90.00°
Sites, in units of the cell vectors:
Ti 0.000 0.000 0.000
Cd 0.500 0.500 0.000
Hg 0.000 0.500 0.500
Hg 0.500 0.000 0.500